Entry 1:
Tb2PmTmN4, relaxed, DFT PBE; energy relative to the elements, uncorrected = -13.00 eV per formula unit
1.0
6.070 0.000 0.000
0.000 3.506 0.000
-2.020 0.000 5.727
Tb Pm Tm N
2 1 1 4
Cartesian
0.000 0.000 0.000
-1.010 1.753 2.863
2.025 0.000 2.863
3.035 1.753 0.000
1.008 1.753 1.393
-0.001 0.000 4.330
4.052 0.000 1.397
3.042 1.753 4.334

=====

Entry 2:
TaPd3I, relaxed, DFT PBE; energy relative to the elements, uncorrected = 4.23 eV per formula unit; ΔE to the lowest computed polymorph = 0 meV per atom
1.0
4.959 0.000 0.000
0.000 4.959 0.000
0.000 0.000 4.959
Ta Pd I
1 3 1
Cartesian
0.000 0.000 0.000
0.000 0.000 2.480
0.000 2.480 0.000
2.480 0.000 0.000
2.480 2.480 2.480

=====

Entry 3:
Pm6DyTm4, relaxed, DFT PBE; total energy = -4.33 eV per atom
1.0
-3.323 3.323 8.492
3.323 -3.323 8.492
3.323 3.323 -8.492
Pm Dy Tm
6 1 4
Cartesian
3.323 0.000 0.000
2.065 -2.065 5.497
1.258 1.258 2.996
0.000 3.323 0.000
-2.065 2.065 5.497
2.065 2.065 11.488
0.000 0.000 0.000
2.132 2.132 -2.130
1.191 -1.191 10.623
1.191 1.191 6.362
-1.191 1.191 10.623

=====

Entry 4:
Pr2TmTh3Sb6, relaxed, DFT PBE; energy relative to the elements, uncorrected = -12.38 eV per formula unit
1.0
9.800 -2.250 0.000
9.800 2.250 0.000
-2.042 0.000 8.742
Pr Tm Th Sb
2 1 3 6
Cartesian
2.577 0.000 2.913
14.982 0.000 5.829
9.800 0.000 0.000
1.608 0.000 7.291
8.779 0.000 4.371
15.951 0.000 1.451
-1.513 0.000 6.634
5.701 0.000 3.629
4.732 0.000 8.051
12.827 0.000 0.691
11.858 0.000 5.113
19.071 0.000 2.108

=====

Entry 5:
ZrTe2, relaxed, DFT PBE; energy relative to the elements, uncorrected = -0.95 eV per formula unit
1.0
5.386 0.000 0.000
-2.693 4.664 0.000
0.000 0.000 6.108
Zr Te
2 4
Cartesian
0.000 3.109 1.527
2.693 1.555 4.581
0.000 0.000 0.000
0.000 0.000 3.054
0.000 3.109 4.581
2.693 1.555 1.527

=====

Entry 6:
RbOsSe2O, relaxed, DFT PBE; energy relative to the elements, uncorrected = 2.53 eV per formula unit
1.0
4.652 0.000 0.000
0.000 4.652 0.000
0.000 0.000 7.602
Rb Os Se O
1 1 2 1
Cartesian
0.000 0.000 0.000
0.000 0.000 3.801
0.000 2.326 3.801
2.326 0.000 3.801
2.326 2.326 0.000

=====

Entry 7:
CaGa3IrPt, relaxed, DFT PBE; total energy = -4.80 eV per atom
1.0
4.074 -5.618 0.000
4.074 5.618 0.000
0.000 0.000 5.730
Ca Ga Ir Pt
2 6 2 2
Cartesian
4.074 3.217 4.298
4.074 -3.217 1.433
2.027 0.000 0.000
2.027 0.000 2.865
4.074 2.539 1.433
4.074 -2.539 4.298
6.122 0.000 0.000
6.122 0.000 2.865
4.074 0.244 1.433
4.074 -0.244 4.298
4.074 4.907 1.433
4.074 -4.907 4.298

=====

Entry 8:
AsAuBr2, relaxed, DFT PBE; energy relative to the elements, uncorrected = 1.12 eV per formula unit; ΔE to the lowest computed polymorph = 501 meV per atom
1.0
3.911 -3.930 0.000
3.911 3.930 0.000
-0.024 0.000 3.355
As Au Br
1 1 2
Cartesian
0.000 0.000 0.000
3.911 0.000 0.000
1.955 1.965 0.000
1.955 -1.965 0.000